Computed, not measured: a relaxed structure of Li3V2CoO6 at the GGA+U level of DFT.

Unit cell a=6.5942 b=6.5942 c=5.9989 alpha=76.16 beta=76.16 gamma=26.28
Positions (direct):
Li: 0.0000 0.0000 0.0000
Li: 0.3358 0.3358 0.3402
Li: 0.6642 0.6642 0.6598
V: 0.3348 0.3348 0.8292
V: 0.6652 0.6652 0.1708
Co: 0.0000 0.0000 0.5000
O: 0.8302 0.8302 0.6043
O: 0.1721 0.1721 0.9325
O: 0.1698 0.1698 0.3957
O: 0.5105 0.5105 0.2494
O: 0.4895 0.4895 0.7506
O: 0.8279 0.8279 0.0675

Summary:
The value obtained for the density of states at the Fermi level is 0.307 states/eV per atom. The calculated total energy is -78.26 eV per cell. Its space group is C2/m (12). The calculation puts the total moment at 6.000 μB/cell.